(1)
# ZrBeI3 | Alexandria | GGA-PBE | relaxed
# - Energy relative to the elements, uncorrected: 0.381 eV/atom
# - Energy above the lowest structure with this stoichiometry: 20.9 kJ per mole of atoms
# - Energy: -3.004 eV per atom
data_ZrBeI3
_cell_length_a 5.1992
_cell_length_b 5.1992
_cell_length_c 5.1992
_cell_angle_alpha 90.00
_cell_angle_beta 90.00
_cell_angle_gamma 90.00
_symmetry_space_group_name_H-M 'P m -3 m'
_symmetry_Int_Tables_number 221
_symmetry_space_group_name_Hall '-P 4 2 3'
loop_
_atom_site_label
_atom_site_fract_x
_atom_site_fract_y
_atom_site_fract_z
Zr1 0.0000 0.0000 0.0000
Be1 0.5000 0.5000 0.5000
I1 0.0000 0.5000 0.5000

---

(2)
# CaPr12Tm6 | Alexandria | GGA-PBE | relaxed
# - Energy: -4.221 eV per atom
data_CaPr12Tm6
_cell_length_a 16.4222
_cell_length_b 16.4222
_cell_length_c 8.6739
_cell_angle_alpha 90.00
_cell_angle_beta 90.00
_cell_angle_gamma 120.00
_symmetry_space_group_name_H-M 'R -3 m'
_symmetry_Int_Tables_number 166
_symmetry_space_group_name_Hall '-R 3 2"'
loop_
_atom_site_label
_atom_site_fract_x
_atom_site_fract_y
_atom_site_fract_z
Ca1 0.0000 0.0000 0.0000
Pr1 0.0000 0.3785 0.5000
Pr2 0.0981 0.5490 0.8363
Tm1 0.0906 0.1813 0.6235